Record 1
Below is a crystal of Al2Ge2Sb relaxed with PBEsol, with properties calculated at the SCAN level.

Cell lengths 3.8009, 3.8009, 13.5932 Å; angles 90.00, 90.00, 90.00 degrees
With the nearest neighbours (Å) after each atom.
Fractional positions:
Al: 0.0000 0.0000 0.1013  1 Al 2.75, 4 Ge 2.77, 4 Sb 3.02
Al: 0.0000 0.0000 0.8987  1 Al 2.75, 4 Ge 2.77, 4 Sb 3.02
Al: 0.5000 0.5000 0.3987  1 Al 2.75, 4 Ge 2.77, 4 Sb 3.02
Al: 0.5000 0.5000 0.6013  1 Al 2.75, 4 Ge 2.77, 4 Sb 3.02
Ge: 0.0000 0.5000 0.2500  4 Ge 2.69, 4 Al 2.77
Ge: 0.0000 0.5000 0.7500  4 Ge 2.69, 4 Al 2.77
Ge: 0.5000 0.0000 0.2500  4 Ge 2.69, 4 Al 2.77
Ge: 0.5000 0.0000 0.7500  4 Ge 2.69, 4 Al 2.77
Sb: 0.0000 0.0000 0.5000  8 Al 3.02
Sb: 0.5000 0.5000 0.0000  8 Al 3.02

Its energy relative to the elements, uncorrected is 0.20 eV/atom. The calculation puts the total energy at -17.9870 eV per atom.



Record 2
Below is a crystal of AlGeSb2Se relaxed with PBEsol, with properties calculated at the SCAN level.

Cell lengths 5.2203, 5.2203, 4.7400 Å; angles 90.00, 90.00, 90.00 degrees
With the nearest neighbours (Å) after each atom.
Fractional positions:
Al: 0.0000 0.0000 0.0000  2 Se 2.37, 4 Sb 2.61
Ge: 0.5000 0.5000 0.5000  8 Sb 3.53, 4 Se 3.69
Sb: 0.0000 0.5000 0.0000  2 Al 2.61
Sb: 0.5000 0.0000 0.0000  2 Al 2.61
Se: 0.0000 0.0000 0.5000  2 Al 2.37

Its energy relative to the elements, uncorrected is 0.52 eV/atom. The calculation puts the total energy at -23.7645 eV per atom.



Record 3
Below is a crystal of Sc11Al2Ge8 relaxed with PBEsol, with properties calculated at the SCAN level.

Cell lengths 10.3967, 10.3967, 10.3967 Å; angles 120.51, 120.51, 89.13 degrees
With the nearest neighbours (Å) after each atom.
Fractional positions:
Sc: 0.0589 0.3104 0.7486  5 Ge 2.72-3.00
Sc: 0.1031 0.4395 0.3365  5 Ge 2.70-2.75, 2 Al 2.95
Sc: 0.1031 0.7666 0.6635  5 Ge 2.70-2.75, 2 Al 2.95
Sc: 0.1695 0.1695 0.0000  5 Ge 2.98-3.16, 4 Al 3.13, 4 Sc 3.33
Sc: 0.2334 0.8969 0.3365  5 Ge 2.70-2.75, 2 Al 2.95
Sc: 0.3104 0.0589 0.7486  5 Ge 2.72-3.00
Sc: 0.3104 0.5618 0.2514  5 Ge 2.72-3.00
Sc: 0.3290 0.3290 0.6579  2 Ge 2.58
Sc: 0.3290 0.6710 0.0000  2 Ge 2.58
Sc: 0.4382 0.6896 0.7486  5 Ge 2.72-3.00
Sc: 0.4395 0.1031 0.3365  5 Ge 2.70-2.75, 2 Al 2.95
Sc: 0.5605 0.8969 0.6635  5 Ge 2.70-2.75, 2 Al 2.95
Sc: 0.5618 0.3104 0.2514  5 Ge 2.72-3.00
Sc: 0.6710 0.3290 0.0000  2 Ge 2.58
Sc: 0.6710 0.6710 0.3421  2 Ge 2.58
Sc: 0.6896 0.4382 0.7486  5 Ge 2.72-3.00
Sc: 0.6896 0.9411 0.2514  5 Ge 2.72-3.00
Sc: 0.7666 0.1031 0.6635  5 Ge 2.70-2.75, 2 Al 2.95
Sc: 0.8305 0.8305 0.0000  5 Ge 2.98-3.16, 4 Al 3.13, 4 Sc 3.33
Sc: 0.8969 0.2334 0.3365  5 Ge 2.70-2.75, 2 Al 2.95
Sc: 0.8969 0.5605 0.6635  5 Ge 2.70-2.75, 2 Al 2.95
Sc: 0.9411 0.6896 0.2514  5 Ge 2.72-3.00
Al: 0.1279 0.1279 0.2559  2 Al 2.64, 2 Ge 2.76, 5 Sc 2.93-2.95
Al: 0.1279 0.8721 0.0000  2 Al 2.64, 2 Ge 2.76, 5 Sc 2.93-2.95
Al: 0.8721 0.1279 0.0000  2 Al 2.64, 2 Ge 2.76, 5 Sc 2.93-2.95
Al: 0.8721 0.8721 0.7441  2 Al 2.64, 2 Ge 2.76, 5 Sc 2.93-2.95
Ge: 0.0336 0.0336 0.4084  5 Sc 2.70-2.99, 1 Ge 2.71, 1 Al 2.76
Ge: 0.0336 0.6252 0.0000  5 Sc 2.70-2.99, 1 Ge 2.71, 1 Al 2.76
Ge: 0.1469 0.5000 0.6469  6 Sc 2.58-2.73
Ge: 0.2500 0.7500 0.5000  8 Sc 2.72-2.75
Ge: 0.3748 0.3748 0.4084  5 Sc 2.70-2.99, 1 Ge 2.71, 1 Al 2.76
Ge: 0.3748 0.9664 0.0000  5 Sc 2.70-2.99, 1 Ge 2.71, 1 Al 2.76
Ge: 0.3828 0.3828 0.0000  8 Sc 2.81-3.04
Ge: 0.5000 0.1469 0.6469  6 Sc 2.58-2.73
Ge: 0.5000 0.8531 0.3531  6 Sc 2.58-2.73
Ge: 0.6172 0.6172 0.0000  8 Sc 2.81-3.04
Ge: 0.6252 0.0336 0.0000  5 Sc 2.70-2.99, 1 Ge 2.71, 1 Al 2.76
Ge: 0.6252 0.6252 0.5916  5 Sc 2.70-2.99, 1 Ge 2.71, 1 Al 2.76
Ge: 0.7500 0.2500 0.5000  8 Sc 2.72-2.75
Ge: 0.8531 0.5000 0.3531  6 Sc 2.58-2.73
Ge: 0.9664 0.3748 0.0000  5 Sc 2.70-2.99, 1 Ge 2.71, 1 Al 2.76
Ge: 0.9664 0.9664 0.5916  5 Sc 2.70-2.99, 1 Ge 2.71, 1 Al 2.76

The energy of formation is -884 meV/atom. The calculation puts the total energy at -16.3514 eV per atom.



Record 4
Below is a crystal of Sc2AlSiGe relaxed with PBEsol, with properties calculated at the SCAN level.

Cell lengths 5.0298, 5.0298, 4.4590 Å; angles 90.00, 90.00, 90.00 degrees
With the nearest neighbours (Å) after each atom.
Fractional positions:
Sc: 0.0000 0.5000 0.0000  2 Al 2.51
Sc: 0.5000 0.0000 0.0000  2 Al 2.51
Al: 0.0000 0.0000 0.0000  2 Si 2.23
Si: 0.0000 0.0000 0.5000  2 Al 2.23
Ge: 0.5000 0.5000 0.5000  8 Sc 3.36, 4 Si 3.56

Its energy relative to the elements, uncorrected is 0.45 eV/atom. The calculation puts the total energy at -12.6154 eV per atom.